# PBE CdSi2P, optimized geometry
# Formation energy without anion corrections   66.8 kJ/mol of atoms
# Polymorph energy (0 for the lowest one)   639 meV/atom
data_CdSi2P
_cell_length_a 6.533
_cell_length_b 6.533
_cell_length_c 6.533
_cell_angle_alpha 90.00
_cell_angle_beta 90.00
_cell_angle_gamma 90.00
_symmetry_space_group_name_H-M 'F m -3 m'
_symmetry_Int_Tables_number 225
_symmetry_space_group_name_Hall '-F 4 2 3'
loop_
_atom_site_label
_atom_site_fract_x
_atom_site_fract_y
_atom_site_fract_z
Cd1 0.000 0.000 0.000
Si1 0.250 0.250 0.250
P1 0.000 0.000 0.500


# PBE TaNbV3, optimized geometry
# Energy relative to the elements   138.0 kJ per mole of atoms
# Polymorph energy (0 for the lowest one)   0 meV/atom
data_TaNbV3
_cell_length_a 4.519
_cell_length_b 4.519
_cell_length_c 4.519
_cell_angle_alpha 90.00
_cell_angle_beta 90.00
_cell_angle_gamma 90.00
_symmetry_space_group_name_H-M 'P m -3 m'
_symmetry_Int_Tables_number 221
_symmetry_space_group_name_Hall '-P 4 2 3'
loop_
_atom_site_label
_atom_site_fract_x
_atom_site_fract_y
_atom_site_fract_z
Ta1 0.000 0.000 0.000
Nb1 0.500 0.500 0.500
V1 0.000 0.500 0.500


# PBE La3GeBr, optimized geometry
# Formation energy without anion corrections   -76.1 kJ/mol of atoms
# Polymorph energy (0 for the lowest one)   51 meV/atom
data_La3GeBr
_cell_length_a 4.346
_cell_length_b 11.987
_cell_length_c 12.156
_cell_angle_alpha 90.00
_cell_angle_beta 90.00
_cell_angle_gamma 90.00
_symmetry_space_group_name_H-M 'C m c m'
_symmetry_Int_Tables_number 63
_symmetry_space_group_name_Hall '-C 2c 2'
loop_
_atom_site_label
_atom_site_fract_x
_atom_site_fract_y
_atom_site_fract_z
La1 0.000 0.045 0.250
La2 0.000 0.349 0.077
Ge1 0.000 0.000 0.000
Br1 0.000 0.243 0.750


# PBE CeSm2Cl, optimized geometry
# Formation energy without anion corrections   -61.7 kJ/mol of atoms
data_CeSm2Cl
_cell_length_a 3.6422
_cell_length_b 3.6422
_cell_length_c 30.0621
_cell_angle_alpha 90.00
_cell_angle_beta 90.00
_cell_angle_gamma 120.00
_symmetry_space_group_name_H-M 'R -3 m'
_symmetry_Int_Tables_number 166
_symmetry_space_group_name_Hall '-R 3 2"'
loop_
_atom_site_label
_atom_site_fract_x
_atom_site_fract_y
_atom_site_fract_z
Ce1 0.0000 0.0000 0.0000
Sm1 0.0000 0.0000 0.2402
Cl1 0.0000 0.0000 0.5000


# PBE BTeMo2Pb, optimized geometry
# Formation energy without anion corrections   92.6 kJ/mol of atoms
data_BTeMo2Pb
_cell_length_a 4.548
_cell_length_b 4.548
_cell_length_c 4.919
_cell_angle_alpha 90.00
_cell_angle_beta 90.00
_cell_angle_gamma 90.00
_symmetry_space_group_name_H-M 'P 4/m m m'
_symmetry_Int_Tables_number 123
_symmetry_space_group_name_Hall '-P 4 2'
loop_
_atom_site_label
_atom_site_fract_x
_atom_site_fract_y
_atom_site_fract_z
B1 0.000 0.000 0.000
Te1 0.500 0.500 0.500
Mo1 0.000 0.500 0.000
Pb1 0.000 0.000 0.500